Entry 1:
## YTlPt (SCAN)

Data for a PBEsol-optimized structure of YTlPt.

The space group is F-43m (No. 216) and the conventional cell measures 6.618, 6.618 and 6.618 Å, with angles of 90.00, 90.00 and 90.00 degrees. The asymmetric unit holds Y at (0.000, 0.000, 0.000), Tl at (0.250, 0.250, 0.250) and Pt at (0.000, 0.000, 0.500).

Its density of states at the Fermi level is 4.42 states/eV/f.u. For the magnetization, the calculation gives 0.00 μB/f.u. The formation energy comes out at -1.11 eV/f.u. Its theoretical density is 11.193 g cm⁻³. The calculation puts the electronic total energy at -686.023 eV per cell.

Entry 2:
## Na2ZnSn2S6 (SCAN)

Data for a PBEsol-optimized structure of Na2ZnSn2S6.

The space group is Fdd2 (No. 43) and the conventional cell measures 12.930, 23.380 and 7.255 Å, with angles of 90.00, 90.00 and 90.00 degrees. The asymmetric unit holds Na at (0.081, 0.298, 0.000), Zn at (0.000, 0.000, 0.265), Sn at (0.122, 0.389, 0.490), S at (0.035, 0.079, 0.447), S at (0.056, 0.138, 0.927) and S at (0.104, 0.236, 0.331).

Its density of states at the Fermi level is 0.00 states/eV/f.u. For the magnetization, the calculation gives 0.00 μB/f.u. The calculation puts the uncorrected formation energy at -0.806 eV per atom. Its theoretical density is 3.278 g cm⁻³. The calculation puts the electronic total energy at -1283.331 eV per cell.